Record 1
# Pa2GeAu

Pa2GeAu after structural relaxation (PBE, the Alexandria database).

a b c (Å): 5.0945 5.0945 5.0945
angles (deg): 60.00 60.00 60.00
Last column: nearest neighbours and their distance in Å.
Atoms (fractional coordinates):
Pa 0.2500 0.2500 0.2500  4 Ge 3.12, 4 Au 3.12
Ge 0.5000 0.5000 0.5000  8 Pa 3.12
Au 0.0000 0.0000 0.0000  8 Pa 3.12
Pa 0.7500 0.7500 0.7500  4 Ge 3.12, 4 Au 3.12

Calculated values
Energy above the most stable polymorph in this dataset: 14.0 kJ per mole of atoms
Size of the total moment: 0.8925 μB per atom
DFT formation energy: -15.5 kJ/mol of atoms
Symmetry: Fm-3m

---

Record 2
# Dy2CrMoN5

Dy2CrMoN5 after structural relaxation (PBE, the Alexandria database).

a b c (Å): 3.1906 6.6797 10.0838
angles (deg): 90.00 90.00 103.82
Last column: nearest neighbours and their distance in Å.
Atoms (fractional coordinates):
N 0.6305 0.2611 0.5008  1 Mo 1.92, 1 Cr 1.94
Cr 0.4836 0.9671 0.4644  4 N 1.81-1.94
N 0.6821 0.3642 0.8735  2 Mo 2.17, 1 Cr 2.34, 1 Dy 2.39
Dy 0.1451 0.2902 0.2913  5 N 2.35-2.39
Mo 0.7788 0.5575 0.5100  3 N 1.92-2.11
N 0.3695 0.7389 0.0008  1 Mo 1.92, 1 Cr 1.94
Dy 0.8549 0.7098 0.7913  5 N 2.35-2.39
N 0.0431 0.0862 0.0452  2 Cr 1.82
N 0.5106 0.0212 0.2886  1 Cr 1.81
N 0.9569 0.9138 0.5452  2 Cr 1.82
Dy 0.1088 0.2177 0.7028  8 N 2.33-2.60
N 0.3179 0.6358 0.3735  2 Mo 2.17, 1 Cr 2.34, 1 Dy 2.39
N 0.4894 0.9788 0.7886  1 Cr 1.81
N 0.2831 0.5661 0.6473  2 Mo 2.11, 3 Dy 2.33-2.35
Dy 0.8912 0.7823 0.2028  8 N 2.33-2.60
Mo 0.2212 0.4425 0.0100  3 N 1.92-2.11
Cr 0.5164 0.0329 0.9644  4 N 1.81-1.94
N 0.7169 0.4339 0.1473  2 Mo 2.11, 3 Dy 2.33-2.35

Calculated values
E_form (uncorrected): -91.3 kJ per mole of atoms
Size of the total moment: 0.0000 μB per atom
Symmetry: Cmc2_1

---

Record 3
# HgBrOF2

HgBrOF2 after structural relaxation (PBE, the Alexandria database).

a b c (Å): 4.5697 4.5697 4.0328
angles (deg): 90.00 90.00 90.00
Last column: nearest neighbours and their distance in Å.
Atoms (fractional coordinates):
Hg 0.5000 0.5000 0.5000  8 F 3.05, 4 O 3.23
O 0.0000 0.0000 0.5000  2 Br 2.02
F 0.0000 0.5000 0.0000  2 Br 2.28
F 0.5000 0.0000 0.0000  2 Br 2.28
Br 0.0000 0.0000 0.0000  2 O 2.02

Calculated values
E_form (uncorrected): -10.8 kJ per mole of atoms
Energy above the most stable polymorph in this dataset: 3.7 kJ per mole of atoms
Size of the total moment: 0.0000 μB per atom
Symmetry: P4/mmm

---

Record 4
# Li3BeIn

Li3BeIn after structural relaxation (PBE, the Alexandria database).

a b c (Å): 5.0368 5.0368 5.0368
angles (deg): 90.00 90.00 90.00
Last column: nearest neighbours and their distance in Å.
Atoms (fractional coordinates):
Li 0.0000 0.5000 0.0000  2 In 2.52
Li 0.0000 0.0000 0.5000  2 In 2.52
Li 0.5000 0.0000 0.0000  2 In 2.52
In 0.0000 0.0000 0.0000  6 Li 2.52
Be 0.5000 0.5000 0.5000  12 Li 3.56

Calculated values
Energy above the most stable polymorph in this dataset: 41.7 kJ per mole of atoms
Size of the total moment: 0.0000 μB per atom
DFT formation energy: 72.1 kJ/mol of atoms
Symmetry: Pm-3m

---

Record 5
# Y4Ni3

Y4Ni3 after structural relaxation (PBE, the Alexandria database).

a b c (Å): 11.7673 11.7673 11.7673
angles (deg): 161.62 161.62 26.11
Last column: nearest neighbours and their distance in Å.
Atoms (fractional coordinates):
Y 0.5679 0.5679 0.0000  5 Ni 2.77-3.08
Ni 0.6886 0.6886 0.0000  6 Y 2.66-2.91
Ni 0.0000 0.0000 0.0000  8 Y 3.08
Y 0.1846 0.1846 0.0000  5 Ni 2.66-2.91
Ni 0.3114 0.3114 0.0000  6 Y 2.66-2.91
Y 0.8154 0.8154 0.0000  5 Ni 2.66-2.91
Y 0.4321 0.4321 0.0000  5 Ni 2.77-3.08

Calculated values
Energy above the most stable polymorph in this dataset: 0.0 kJ per mole of atoms
Size of the total moment: 0.0000 μB per atom
DFT formation energy: -17.6 kJ/mol of atoms
Symmetry: I4/mmm

---

Record 6
# CaTi3Se

CaTi3Se after structural relaxation (PBE, the Alexandria database).

a b c (Å): 4.8280 4.8280 4.8280
angles (deg): 90.00 90.00 90.00
Last column: nearest neighbours and their distance in Å.
Atoms (fractional coordinates):
Se 0.0000 0.0000 0.0000  6 Ti 2.41
Ca 0.5000 0.5000 0.5000  12 Ti 3.41
Ti 0.0000 0.5000 0.0000  2 Se 2.41
Ti 0.5000 0.0000 0.0000  2 Se 2.41
Ti 0.0000 0.0000 0.5000  2 Se 2.41

Calculated values
E_form (uncorrected): 1.6 kJ per mole of atoms
Energy above the most stable polymorph in this dataset: 0.0 kJ per mole of atoms
Size of the total moment: 0.0000 μB per atom
Symmetry: Pm-3m